The following is a PBE calculation of a relaxed structure of P2PdICl, from the Alexandria database.

Results
- SG = P4/mmm
- formation energy without anion corrections (eV/atom) = 0.4962
- ΔE to the lowest computed polymorph (meV per atom) = 0

```
P2PdICl
1.0
-0.575 0.307 4.731
-4.417 -1.766 -0.422
1.762 -4.527 0.508
I P Pd Cl
1 2 1 1
Direct
0.500 0.500 0.500 I
0.000 0.500 0.000 P
0.500 0.000 0.000 P
0.000 0.000 0.000 Pd
0.000 0.000 0.500 Cl
```



The following is a PBE calculation of a relaxed structure of PPtICl2, from the Alexandria database.

Results
- SG = P4/mmm
- formation energy without anion corrections (eV/atom) = 0.2354
- ΔE to the lowest computed polymorph (meV per atom) = 0

```
PPtICl2
1.0
-3.306 -3.652 0.348
3.582 -3.113 1.366
-0.762 1.123 4.557
I P Pt Cl
1 1 1 2
Direct
0.500 0.500 0.500 I
0.000 0.000 0.500 P
0.000 0.000 0.000 Pt
0.000 0.500 0.000 Cl
0.500 0.000 0.000 Cl
```